1.
ZnSbN2F | PBE | relaxed

Values from the calculation:
The calculated density comes out at 5.7 g/cm³. Its polymorph energy (0 for the lowest one) is 0 meV/atom. The crystal system is tetragonal. The calculation puts the uncorrected formation energy at 2.34 eV per formula unit. The calculation puts the density of states at the Fermi level at 0.204 states/eV/atom. The final energy comes out at -4.31 eV per atom.

a = 4.0708 Å, b = 4.0708 Å, c = 4.1001 Å
α = 90.00°, β = 90.00°, γ = 90.00°
Fractional positions:
Zn: 0.0000 0.0000 0.0000
Sb: 0.5000 0.5000 0.5000
N: 0.0000 0.5000 0.5000
N: 0.5000 0.0000 0.5000
F: 0.5000 0.5000 0.0000


2.
ZnSbN2F | PBE | relaxed

Values from the calculation:
The calculated density comes out at 6.3 g/cm³. Its polymorph energy (0 for the lowest one) is 68 meV/atom. The crystal system is tetragonal. The calculation puts the uncorrected formation energy at 2.69 eV per formula unit. The calculation puts the density of states at the Fermi level at 0.496 states/eV/atom. The final energy comes out at -4.25 eV per atom.

a = 3.9505 Å, b = 3.9505 Å, c = 3.9802 Å
α = 90.00°, β = 90.00°, γ = 90.00°
Fractional positions:
Zn: 0.0000 0.0000 0.0000
Sb: 0.5000 0.5000 0.5000
N: 0.0000 0.5000 0.0000
N: 0.5000 0.0000 0.0000
F: 0.0000 0.0000 0.5000


3.
ZrSbN2F | PBE | relaxed

Values from the calculation:
The calculated density comes out at 5.6 g/cm³. Its polymorph energy (0 for the lowest one) is 0 meV/atom. The crystal system is tetragonal. The calculation puts the uncorrected formation energy at -2.88 eV per formula unit. The calculation puts the density of states at the Fermi level at 0.360 states/eV/atom. The final energy comes out at -6.82 eV per atom.

a = 4.3475 Å, b = 4.3475 Å, c = 4.0696 Å
α = 90.00°, β = 90.00°, γ = 90.00°
Fractional positions:
Zr: 0.0000 0.0000 0.0000
Sb: 0.5000 0.5000 0.5000
N: 0.0000 0.5000 0.0000
N: 0.5000 0.0000 0.0000
F: 0.0000 0.0000 0.5000


- Number 1 is which compound?
  ZnSbN2F


- The lowest final energy belongs to which entry?
  ZrSbN2F